*a*
Material: FeAgW2
Method: DFT, PBE-GGA
State: relaxed

POSCAR file:
```
FeAgW2
1.0
-4.877 1.816 0.509
-3.364 -2.731 2.926
4.589 2.506 -0.049
Ag Fe W
1 1 2
Direct
0.750 0.250 0.500
0.250 0.750 0.500
0.018 0.018 0.000
0.482 0.482 0.000
```

Calculated values
Space group = Immm
D(E_F) = 3.47 states/eV/cell
ρ = 14.4 g/cm³

*b*
Material: FeAgW2
Method: DFT, PBE-GGA
State: relaxed

POSCAR file:
```
FeAgW2
1.0
-0.655 2.615 0.035
-0.416 -0.140 2.660
8.153 2.024 1.381
Ag Fe W
1 1 2
Direct
0.000 0.000 0.514
0.500 0.500 0.759
0.000 0.000 0.981
0.500 0.500 0.246
```

Calculated values
Space group = P4mm
D(E_F) = 3.93 states/eV/cell
ρ = 14.3 g/cm³

*c*
Material: FeAgW2
Method: DFT, PBE-GGA
State: relaxed

POSCAR file:
```
FeAgW2
1.0
4.987 -0.096 0.000
-1.963 4.586 0.000
0.000 0.000 2.678
Ag Fe W
1 1 2
Direct
0.500 0.000 0.500
0.000 0.500 0.500
0.000 0.000 0.000
0.500 0.500 0.000
```

Calculated values
Space group = Cmmm
D(E_F) = 3.90 states/eV/cell
ρ = 14.5 g/cm³

Most stable: *b* (next structure +77 meV per atom)

*a*
Material: FeAgW2
Method: DFT, PBE-GGA
State: relaxed

POSCAR file:
```
FeAgW2
1.0
5.085 0.001 0.000
2.067 4.646 0.000
-3.086 -3.078 2.619
Ag Fe W
1 1 2
Direct
0.488 0.488 0.000
0.238 0.738 0.500
0.010 0.010 0.000
0.764 0.264 0.500
```

Calculated values
Space group = Imm2
D(E_F) = 3.70 states/eV/cell
ρ = 14.3 g/cm³

*b*
Material: FeAgW2
Method: DFT, PBE-GGA
State: relaxed

POSCAR file:
```
FeAgW2
1.0
2.759 0.000 0.000
0.000 3.841 0.000
0.000 0.000 5.670
Ag Fe W
1 1 2
Direct
0.500 0.500 0.250
0.500 0.500 0.750
0.000 0.000 0.971
0.000 0.000 0.529
```

Calculated values
Space group = Pmmm
D(E_F) = 2.50 states/eV/cell
ρ = 14.7 g/cm³

Most stable: *b* (next structure +107 meV per atom)